The following is a DFT calculation (GGA-PBE) of crystalline BaSr2Ca at its relaxed geometry.

Unit cell a=10.401 b=10.401 c=7.904 alpha=90.00 beta=90.00 gamma=90.00
Space group I-42d (No. 122)
Asymmetric unit:
Ba 0.000 0.000 0.000
Sr 0.239 0.250 0.625
Ca 0.000 0.000 0.500

E_tot: -6.27 eV per formula unit
Excess energy over the best structure of this formula in the dataset: 0.239 eV/atom
Formation energy: 0.2557 eV per atom
Total moment: 0.0 μB per formula unit

---

The following is a DFT calculation (GGA-PBE) of crystalline ZnSiPt2F at its relaxed geometry.

Unit cell a=4.462 b=4.462 c=4.839 alpha=90.00 beta=90.00 gamma=90.00
Space group P4/mmm (No. 123)
Asymmetric unit:
Zn 0.000 0.000 0.000
Si 0.000 0.000 0.500
Pt 0.000 0.500 0.500
F 0.500 0.500 0.000

E_tot: -20.03 eV per formula unit
ΔE_f (raw): 123 meV/atom
Total moment: 0.0 μB per formula unit

---

- What is the E_tot in the second record?
  -20.03 eV per formula unit

---

Copy entry 1 word for word.
The following is a DFT calculation (GGA-PBE) of crystalline BaSr2Ca at its relaxed geometry.

Unit cell a=10.401 b=10.401 c=7.904 alpha=90.00 beta=90.00 gamma=90.00
Space group I-42d (No. 122)
Asymmetric unit:
Ba 0.000 0.000 0.000
Sr 0.239 0.250 0.625
Ca 0.000 0.000 0.500

E_tot: -6.27 eV per formula unit
Excess energy over the best structure of this formula in the dataset: 0.239 eV/atom
Formation energy: 0.2557 eV per atom
Total moment: 0.0 μB per formula unit

---

Repeat the first record exactly.
The following is a DFT calculation (GGA-PBE) of crystalline BaSr2Ca at its relaxed geometry.

Unit cell a=10.401 b=10.401 c=7.904 alpha=90.00 beta=90.00 gamma=90.00
Space group I-42d (No. 122)
Asymmetric unit:
Ba 0.000 0.000 0.000
Sr 0.239 0.250 0.625
Ca 0.000 0.000 0.500

E_tot: -6.27 eV per formula unit
Excess energy over the best structure of this formula in the dataset: 0.239 eV/atom
Formation energy: 0.2557 eV per atom
Total moment: 0.0 μB per formula unit

---

- What is the total moment in the first record?
  0.0 μB per formula unit